The following is a PBE calculation of a relaxed structure of BPIrAu, from Alexandria.

a b c (Å): 3.1971 3.7511 5.3451
angles (deg): 85.08 82.38 70.39
Last column: nearest neighbours and their distance in Å.
Space group P1 (No. 1)
Asymmetric unit:
B 0.0000 0.0000 0.0000 x1  3 Ir 2.09-2.21, 1 P 2.30
P 0.2534 0.6306 0.6536 x1  1 B 2.30, 2 Ir 2.35-2.37, 2 Au 2.47-2.49
Ir 0.6898 0.5956 0.9805 x1  3 B 2.09-2.21
Au 0.3447 0.1443 0.3477 x1  2 B 2.47-2.55, 2 P 2.47-2.49

Values from the calculation:
As for the energy relative to the elements: 120.8 meV per atom.